Entry 1:
# ZnSbAuI2

Crystalline ZnSbAuI2 at its relaxed geometry (PBE, Alexandria via LeMat-Bulk).

Summary:
- ρ (g/cm³) = 6.6
- ΔE_f (raw) (eV per atom) = 0.57
- symmetry = No. 123
- energy relative to the lowest polymorph listed for this composition (eV per formula unit) = 0.62
- spin magnetization (μB per atom) = 0.00
- energy (eV/atom) = -1.78

POSCAR file:
```
ZnSbAuI2
1.0
5.469 0.000 0.000
0.000 5.469 0.000
0.000 0.000 5.388
Zn Sb Au I
1 1 1 2
Direct
0.000 0.000 0.000
0.000 0.000 0.500
0.500 0.500 0.500
0.000 0.500 0.000
0.500 0.000 0.000
```



Entry 2:
# ZrSbAuI2

Crystalline ZrSbAuI2 at its relaxed geometry (PBE, Alexandria via LeMat-Bulk).

Summary:
- ρ (g/cm³) = 6.1
- ΔE_f (raw) (eV per atom) = 0.19
- symmetry = No. 123
- energy relative to the lowest polymorph listed for this composition (eV per formula unit) = 0.00
- spin magnetization (μB per atom) = 0.00
- energy (eV/atom) = -3.62

POSCAR file:
```
ZrSbAuI2
1.0
5.568 0.000 0.000
0.000 5.568 0.000
0.000 0.000 5.830
Zr Sb Au I
1 1 1 2
Direct
0.000 0.000 0.000
0.000 0.000 0.500
0.500 0.500 0.500
0.000 0.500 0.000
0.500 0.000 0.000
```



Entry 3:
# ZrSbAuI2

Crystalline ZrSbAuI2 at its relaxed geometry (PBE, Alexandria via LeMat-Bulk).

Summary:
- ρ (g/cm³) = 6.7
- ΔE_f (raw) (eV per atom) = 0.70
- symmetry = No. 123
- energy relative to the lowest polymorph listed for this composition (eV per formula unit) = 2.57
- spin magnetization (μB per atom) = 0.25
- energy (eV/atom) = -3.11

POSCAR file:
```
ZrSbAuI2
1.0
5.456 0.000 0.000
0.000 5.456 0.000
0.000 0.000 5.554
Zr Sb Au I
1 1 1 2
Direct
0.000 0.000 0.000
0.500 0.500 0.000
0.500 0.500 0.500
0.000 0.500 0.500
0.500 0.000 0.500
```



Entry 4:
# ScAu2I6

Crystalline ScAu2I6 at its relaxed geometry (PBE, Alexandria via LeMat-Bulk).

Summary:
- ρ (g/cm³) = 4.9
- ΔE_f (raw) (eV per atom) = -0.47
- symmetry = No. 15
- energy relative to the lowest polymorph listed for this composition (eV per formula unit) = 0.32
- spin magnetization (μB per atom) = 0.00
- energy (eV/atom) = -2.94

POSCAR file:
```
ScAu2I6
1.0
7.196 -7.017 0.000
7.196 7.017 0.000
-2.295 0.000 8.072
Sc Au I
2 4 12
Direct
0.079 0.921 0.750
0.921 0.079 0.250
0.251 0.295 0.766
0.295 0.251 0.266
0.705 0.749 0.734
0.749 0.705 0.234
0.004 0.189 0.626
0.057 0.664 0.799
0.189 0.004 0.126
0.336 0.943 0.701
0.379 0.407 0.557
0.407 0.379 0.057
0.593 0.621 0.943
0.621 0.593 0.443
0.664 0.057 0.299
0.811 0.996 0.874
0.943 0.336 0.201
0.996 0.811 0.374
```



Entry 5:
# ScAu2I

Crystalline ScAu2I at its relaxed geometry (PBE, Alexandria via LeMat-Bulk).

Summary:
- ρ (g/cm³) = 10.3
- ΔE_f (raw) (eV per atom) = -0.09
- symmetry = No. 225
- energy relative to the lowest polymorph listed for this composition (eV per formula unit) = 0.96
- spin magnetization (μB per atom) = 0.00
- energy (eV/atom) = -3.70

POSCAR file:
```
ScAu2I
1.0
0.000 3.569 3.569
3.569 0.000 3.569
3.569 3.569 0.000
Sc Au I
1 2 1
Direct
0.000 0.000 0.000
0.250 0.250 0.250
0.750 0.750 0.750
0.500 0.500 0.500
```



Entry 6:
# Sc2AuI

Crystalline Sc2AuI at its relaxed geometry (PBE, Alexandria via LeMat-Bulk).

Summary:
- ρ (g/cm³) = 6.6
- ΔE_f (raw) (eV per atom) = 0.06
- symmetry = No. 166
- energy relative to the lowest polymorph listed for this composition (eV per formula unit) = 2.48
- spin magnetization (μB per atom) = 0.00
- energy (eV/atom) = -4.31

POSCAR file:
```
Sc2AuI
1.0
1.730 0.999 10.075
-1.730 0.999 10.075
0.000 -1.998 10.075
Sc Au I
2 1 1
Direct
0.089 0.089 0.089
0.911 0.911 0.911
0.000 0.000 0.000
0.500 0.500 0.500
```



Entry 7:
# Sc2AuI

Crystalline Sc2AuI at its relaxed geometry (PBE, Alexandria via LeMat-Bulk).

Summary:
- ρ (g/cm³) = 5.3
- ΔE_f (raw) (eV per atom) = -0.56
- symmetry = No. 166
- energy relative to the lowest polymorph listed for this composition (eV per formula unit) = 0.00
- spin magnetization (μB per atom) = 0.00
- energy (eV/atom) = -4.93

POSCAR file:
```
Sc2AuI
1.0
2.146 1.239 8.084
-2.146 1.239 8.084
0.000 -2.478 8.084
Sc Au I
2 1 1
Direct
0.117 0.117 0.117
0.883 0.883 0.883
0.500 0.500 0.500
0.000 0.000 0.000
```



Entry 8:
# ScAuI3

Crystalline ScAuI3 at its relaxed geometry (PBE, Alexandria via LeMat-Bulk).

Summary:
- ρ (g/cm³) = 5.7
- ΔE_f (raw) (eV per atom) = 0.16
- symmetry = No. 221
- energy relative to the lowest polymorph listed for this composition (eV per formula unit) = 2.43
- spin magnetization (μB per atom) = 0.25
- energy (eV/atom) = -2.69

POSCAR file:
```
ScAuI3
1.0
5.657 0.000 0.000
0.000 5.657 0.000
0.000 0.000 5.657
Sc Au I
1 1 3
Direct
0.000 0.000 0.000
0.500 0.500 0.500
0.000 0.500 0.500
0.500 0.000 0.500
0.500 0.500 0.000
```



Entry 9:
# Sc2AuI

Crystalline Sc2AuI at its relaxed geometry (PBE, Alexandria via LeMat-Bulk).

Summary:
- ρ (g/cm³) = 7.7
- ΔE_f (raw) (eV per atom) = -0.37
- symmetry = No. 225
- energy relative to the lowest polymorph listed for this composition (eV per formula unit) = 0.78
- spin magnetization (μB per atom) = 0.13
- energy (eV/atom) = -4.74

POSCAR file:
```
Sc2AuI
1.0
0.000 3.550 3.550
3.550 0.000 3.550
3.550 3.550 0.000
Sc Au I
2 1 1
Direct
0.250 0.250 0.250
0.750 0.750 0.750
0.000 0.000 0.000
0.500 0.500 0.500
```



Entry 10:
# ScAu2I6

Crystalline ScAu2I6 at its relaxed geometry (PBE, Alexandria via LeMat-Bulk).

Summary:
- ρ (g/cm³) = 4.6
- ΔE_f (raw) (eV per atom) = -0.51
- symmetry = No. 15
- energy relative to the lowest polymorph listed for this composition (eV per formula unit) = 0.00
- spin magnetization (μB per atom) = 0.12
- energy (eV/atom) = -2.97

POSCAR file:
```
ScAu2I6
1.0
7.750 -8.553 0.000
7.750 8.553 0.000
-3.356 0.000 6.553
Sc Au I
2 4 12
Direct
0.059 0.941 0.750
0.941 0.059 0.250
0.390 0.390 0.140
0.390 0.390 0.640
0.610 0.610 0.360
0.610 0.610 0.860
0.072 0.176 0.689
0.091 0.702 0.769
0.176 0.072 0.189
0.270 0.486 0.378
0.298 0.909 0.731
0.486 0.270 0.878
0.514 0.730 0.122
0.702 0.091 0.269
0.730 0.514 0.622
0.824 0.928 0.811
0.909 0.298 0.231
0.928 0.824 0.311
```



Entry 11:
# ScAu2I

Crystalline ScAu2I at its relaxed geometry (PBE, Alexandria via LeMat-Bulk).

Summary:
- ρ (g/cm³) = 9.7
- ΔE_f (raw) (eV per atom) = -0.33
- symmetry = No. 122
- energy relative to the lowest polymorph listed for this composition (eV per formula unit) = 0.00
- spin magnetization (μB per atom) = 0.00
- energy (eV/atom) = -3.94

POSCAR file:
```
ScAu2I
1.0
-4.116 4.116 2.848
4.116 -4.116 2.848
4.116 4.116 -2.848
Sc Au I
2 4 2
Direct
0.000 0.000 0.000
0.750 0.250 0.500
0.100 0.625 0.975
0.375 0.350 0.475
0.650 0.125 0.025
0.875 0.900 0.525
0.250 0.750 0.500
0.500 0.500 0.000
```



Entry 12:
# ScAuI

Crystalline ScAuI at its relaxed geometry (PBE, Alexandria via LeMat-Bulk).

Summary:
- ρ (g/cm³) = 7.4
- ΔE_f (raw) (eV per atom) = -0.45
- symmetry = No. 187
- spin magnetization (μB per atom) = 0.00
- energy (eV/atom) = -4.17

POSCAR file:
```
ScAuI
1.0
3.792 0.000 0.000
-1.896 3.284 0.000
0.000 0.000 13.248
Sc Au I
2 2 2
Direct
0.000 0.000 0.135
0.000 0.000 0.865
0.333 0.667 0.000
0.333 0.667 0.500
0.333 0.667 0.287
0.333 0.667 0.713
```



Entry 13:
# Sc2AuI8

Crystalline Sc2AuI8 at its relaxed geometry (PBE, Alexandria via LeMat-Bulk).

Summary:
- ρ (g/cm³) = 3.8
- ΔE_f (raw) (eV per atom) = -0.79
- symmetry = No. 12
- spin magnetization (μB per atom) = 0.07
- energy (eV/atom) = -3.36

POSCAR file:
```
Sc2AuI8
1.0
7.265 -4.930 0.000
7.265 4.930 0.000
-1.202 0.000 7.981
Sc Au I
2 1 8
Direct
0.207 0.207 0.328
0.793 0.793 0.672
0.000 0.000 0.000
0.102 0.677 0.844
0.191 0.191 0.657
0.323 0.898 0.156
0.385 0.385 0.284
0.615 0.615 0.716
0.677 0.102 0.844
0.809 0.809 0.343
0.898 0.323 0.156
```



Entry 14:
# ScAu3I

Crystalline ScAu3I at its relaxed geometry (PBE, Alexandria via LeMat-Bulk).

Summary:
- ρ (g/cm³) = 8.6
- ΔE_f (raw) (eV per atom) = 0.86
- symmetry = No. 221
- energy relative to the lowest polymorph listed for this composition (eV per formula unit) = 2.18
- spin magnetization (μB per atom) = 0.10
- energy (eV/atom) = -2.69

POSCAR file:
```
ScAu3I
1.0
5.282 0.000 0.000
0.000 5.282 0.000
0.000 0.000 5.282
Sc Au I
1 3 1
Direct
0.000 0.000 0.000
0.000 0.500 0.500
0.500 0.000 0.500
0.500 0.500 0.000
0.500 0.500 0.500
```



Entry 15:
# ScAu3I

Crystalline ScAu3I at its relaxed geometry (PBE, Alexandria via LeMat-Bulk).

Summary:
- ρ (g/cm³) = 8.7
- ΔE_f (raw) (eV per atom) = 0.42
- symmetry = No. 221
- energy relative to the lowest polymorph listed for this composition (eV per formula unit) = 0.00
- spin magnetization (μB per atom) = 0.00
- energy (eV/atom) = -3.12

POSCAR file:
```
ScAu3I
1.0
5.257 0.000 0.000
0.000 5.257 0.000
0.000 0.000 5.257
Sc Au I
1 3 1
Direct
0.000 0.000 0.000
0.000 0.000 0.500
0.000 0.500 0.000
0.500 0.000 0.000
0.500 0.500 0.500
```



Entry 16:
# ScAuI3

Crystalline ScAuI3 at its relaxed geometry (PBE, Alexandria via LeMat-Bulk).

Summary:
- ρ (g/cm³) = 5.6
- ΔE_f (raw) (eV per atom) = -0.32
- symmetry = No. 221
- energy relative to the lowest polymorph listed for this composition (eV per formula unit) = 0.00
- spin magnetization (μB per atom) = 0.00
- energy (eV/atom) = -3.18

POSCAR file:
```
ScAuI3
1.0
5.703 0.000 0.000
0.000 5.703 0.000
0.000 0.000 5.703
Sc Au I
1 1 3
Direct
0.000 0.000 0.000
0.500 0.500 0.500
0.000 0.000 0.500
0.000 0.500 0.000
0.500 0.000 0.000
```



Entry 17:
# Sc3AuI

Crystalline Sc3AuI at its relaxed geometry (PBE, Alexandria via LeMat-Bulk).

Summary:
- ρ (g/cm³) = 5.3
- ΔE_f (raw) (eV per atom) = -0.14
- symmetry = No. 221
- energy relative to the lowest polymorph listed for this composition (eV per formula unit) = 0.00
- spin magnetization (μB per atom) = 0.00
- energy (eV/atom) = -4.90

POSCAR file:
```
Sc3AuI
1.0
5.243 0.000 0.000
0.000 5.243 0.000
0.000 0.000 5.243
Sc Au I
3 1 1
Direct
0.000 0.000 0.500
0.000 0.500 0.000
0.500 0.000 0.000
0.000 0.000 0.000
0.500 0.500 0.500
```



Entry 18:
# ScSiAu2I

Crystalline ScSiAu2I at its relaxed geometry (PBE, Alexandria via LeMat-Bulk).

Summary:
- ρ (g/cm³) = 6.7
- ΔE_f (raw) (eV per atom) = 0.58
- symmetry = No. 123
- spin magnetization (μB per atom) = 0.00
- energy (eV/atom) = -3.39

POSCAR file:
```
ScSiAu2I
1.0
5.160 0.000 0.000
0.000 5.160 0.000
0.000 0.000 5.550
Sc Si Au I
1 1 2 1
Direct
0.000 0.000 0.000
0.000 0.000 0.500
0.000 0.500 0.000
0.500 0.000 0.000
0.500 0.500 0.500
```



Entry 19:
# SrSc2AuI

Crystalline SrSc2AuI at its relaxed geometry (PBE, Alexandria via LeMat-Bulk).

Summary:
- ρ (g/cm³) = 4.8
- ΔE_f (raw) (eV per atom) = -0.30
- symmetry = No. 123
- spin magnetization (μB per atom) = 0.00
- energy (eV/atom) = -4.14

POSCAR file:
```
SrSc2AuI
1.0
5.214 0.000 0.000
0.000 5.214 0.000
0.000 0.000 6.349
Sr Sc Au I
1 2 1 1
Direct
0.000 0.000 0.000
0.000 0.500 0.500
0.500 0.000 0.500
0.000 0.000 0.500
0.500 0.500 0.000
```



Entry 20:
# ZrSc2AuI

Crystalline ZrSc2AuI at its relaxed geometry (PBE, Alexandria via LeMat-Bulk).

Summary:
- ρ (g/cm³) = 5.5
- ΔE_f (raw) (eV per atom) = 0.63
- symmetry = No. 123
- spin magnetization (μB per atom) = 0.00
- energy (eV/atom) = -4.58

POSCAR file:
```
ZrSc2AuI
1.0
5.362 0.000 0.000
0.000 5.362 0.000
0.000 0.000 5.340
Zr Sc Au I
1 2 1 1
Direct
0.000 0.000 0.000
0.000 0.500 0.000
0.500 0.000 0.000
0.500 0.500 0.500
0.000 0.000 0.500
```



Entry 21:
# Au2SeI

Crystalline Au2SeI at its relaxed geometry (PBE, Alexandria via LeMat-Bulk).

Summary:
- ρ (g/cm³) = 8.2
- ΔE_f (raw) (eV per atom) = 0.07
- symmetry = No. 122
- energy relative to the lowest polymorph listed for this composition (eV per formula unit) = 0.00
- spin magnetization (μB per atom) = 0.00
- energy (eV/atom) = -2.83

POSCAR file:
```
Au2SeI
1.0
-3.144 3.144 6.131
3.144 -3.144 6.131
3.144 3.144 -6.131
Au Se I
4 2 2
Direct
0.074 0.625 0.949
0.375 0.324 0.449
0.676 0.125 0.051
0.875 0.926 0.551
0.000 0.000 0.000
0.750 0.250 0.500
0.250 0.750 0.500
0.500 0.500 0.000
```



Entry 22:
# Au3SeI

Crystalline Au3SeI at its relaxed geometry (PBE, Alexandria via LeMat-Bulk).

Summary:
- ρ (g/cm³) = 8.8
- ΔE_f (raw) (eV per atom) = 0.99
- symmetry = No. 221
- energy relative to the lowest polymorph listed for this composition (eV per formula unit) = 3.15
- spin magnetization (μB per atom) = 0.00
- energy (eV/atom) = -1.99

POSCAR file:
```
Au3SeI
1.0
5.319 0.000 0.000
0.000 5.319 0.000
0.000 0.000 5.319
Au Se I
3 1 1
Direct
0.000 0.000 0.500
0.000 0.500 0.000
0.500 0.000 0.000
0.500 0.500 0.500
0.000 0.000 0.000
```



Entry 23:
# Au3SeI

Crystalline Au3SeI at its relaxed geometry (PBE, Alexandria via LeMat-Bulk).

Summary:
- ρ (g/cm³) = 10.0
- ΔE_f (raw) (eV per atom) = 0.36
- symmetry = No. 221
- energy relative to the lowest polymorph listed for this composition (eV per formula unit) = 0.00
- spin magnetization (μB per atom) = 0.00
- energy (eV/atom) = -2.62

POSCAR file:
```
Au3SeI
1.0
5.100 0.000 0.000
0.000 5.100 0.000
0.000 0.000 5.100
Au Se I
3 1 1
Direct
0.000 0.000 0.500
0.000 0.500 0.000
0.500 0.000 0.000
0.000 0.000 0.000
0.500 0.500 0.500
```



Entry 24:
# Au2SeI

Crystalline Au2SeI at its relaxed geometry (PBE, Alexandria via LeMat-Bulk).

Summary:
- ρ (g/cm³) = 10.8
- ΔE_f (raw) (eV per atom) = 0.66
- symmetry = No. 225
- energy relative to the lowest polymorph listed for this composition (eV per formula unit) = 2.37
- spin magnetization (μB per atom) = 0.00
- energy (eV/atom) = -2.24

POSCAR file:
```
Au2SeI
1.0
0.000 3.582 3.582
3.582 0.000 3.582
3.582 3.582 0.000
Au Se I
2 1 1
Direct
0.250 0.250 0.250
0.750 0.750 0.750
0.000 0.000 0.000
0.500 0.500 0.500
```



Entry 25:
# AuSe2I

Crystalline AuSe2I at its relaxed geometry (PBE, Alexandria via LeMat-Bulk).

Summary:
- ρ (g/cm³) = 8.7
- ΔE_f (raw) (eV per atom) = 0.69
- symmetry = No. 225
- spin magnetization (μB per atom) = 0.00
- energy (eV/atom) = -2.26

POSCAR file:
```
AuSe2I
1.0
0.000 3.579 3.579
3.579 0.000 3.579
3.579 3.579 0.000
Au Se I
1 2 1
Direct
0.000 0.000 0.000
0.250 0.250 0.250
0.750 0.750 0.750
0.500 0.500 0.500
```